Entry 1:
Density functional theory data (PBE-GGA) for a relaxed structure of NaZrB2Se.

Lattice parameters (Å, degrees): 4.428 4.930 4.428 90.00 90.00 90.00
Fractional coordinates of all 5 atoms:
Na 0.500 0.500 0.500
B 0.000 0.000 0.500
B 0.500 0.000 0.000
Zr 0.000 0.500 0.000
Se 0.000 0.000 0.000

Summary:
Its space-group type is No. 123. Its uncorrected formation energy is 1395 meV per atom.


Entry 2:
Density functional theory data (PBE-GGA) for a relaxed structure of Hf2AuBr4.

Lattice parameters (Å, degrees): 5.582 5.582 8.083 69.80 69.80 90.00
Each line ends with the local moment (μB).
Fractional coordinates of all 7 atoms:
Br 0.000 0.500 0.000  0.00
Br 0.223 0.223 0.555  0.02
Br 0.777 0.777 0.445  0.02
Br 0.500 0.000 0.000  0.00
Hf 0.406 0.406 0.187  0.67
Hf 0.594 0.594 0.813  0.67
Au 0.000 0.000 0.000  0.02

Summary:
Its space-group type is No. 139. Its uncorrected formation energy is 223 meV per atom.


Entry 3:
Density functional theory data (PBE-GGA) for a relaxed structure of PmPaCuGe.

Lattice parameters (Å, degrees): 5.020 5.020 5.020 60.00 60.00 60.00
Each line ends with the local moment (μB).
Fractional coordinates of all 4 atoms:
Pm 0.500 0.500 0.500  0.06
Pa 0.000 0.000 0.000  0.54
Cu 0.750 0.750 0.750  -0.01
Ge 0.250 0.250 0.250  0.00

Summary:
Its space-group type is No. 216. As for the energy of formation: -0.6 eV/f.u.


Entry 4:
Density functional theory data (PBE-GGA) for a relaxed structure of SrTcSe.

Lattice parameters (Å, degrees): 4.756 4.756 4.756 60.00 60.00 60.00
Each line ends with the local moment (μB).
Fractional coordinates of all 3 atoms:
Se 0.250 0.250 0.250  0.02
Tc 0.500 0.500 0.500  2.31
Sr 0.000 0.000 0.000  -0.01

Summary:
The excess energy over the best structure of this formula in the dataset is 443 meV/atom. Its space-group type is No. 216. Its uncorrected formation energy is 210 meV per atom.


Number 2 is which compound?
Hf2AuBr4